# PBE-GGA BaLa3Pr2Te6, relaxed
data_BaLa3Pr2Te6
_chemical_formula_sum 'Ba1 La3 Pr2 Te6'
_cell_length_a 10.328
_cell_length_b 10.328
_cell_length_c 9.297
_cell_angle_alpha 102.95
_cell_angle_beta 102.95
_cell_angle_gamma 25.78
_symmetry_space_group_name_H-M 'P 1'
_symmetry_Int_Tables_number 1
loop_
_symmetry_equiv_pos_as_xyz
'x,y,z'
loop_
_atom_site_label
_atom_site_fract_x
_atom_site_fract_y
_atom_site_fract_z
Ba1 0.000 0.000 0.000
La1 0.000 0.000 0.500
La2 0.336 0.336 0.173
La3 0.664 0.664 0.827
Pr1 0.329 0.329 0.658
Pr2 0.671 0.671 0.342
Te1 0.165 0.165 0.582
Te2 0.172 0.172 0.088
Te3 0.496 0.496 0.736
Te4 0.504 0.504 0.264
Te5 0.828 0.828 0.912
Te6 0.835 0.835 0.418
# SG: C2/m, No. 12
# Uncorrected formation energy: -1.551 eV per atom

---

# PBE-GGA CePa5Se6, relaxed
data_CePa5Se6
_chemical_formula_sum 'Ce1 Pa5 Se6'
_cell_length_a 7.041
_cell_length_b 7.041
_cell_length_c 7.292
_cell_angle_alpha 99.42
_cell_angle_beta 99.42
_cell_angle_gamma 121.70
_symmetry_space_group_name_H-M 'P 1'
_symmetry_Int_Tables_number 1
loop_
_symmetry_equiv_pos_as_xyz
'x,y,z'
loop_
_atom_site_label
_atom_site_fract_x
_atom_site_fract_y
_atom_site_fract_z
Ce1 0.000 0.000 0.000
Pa1 0.164 0.836 0.500
Pa2 0.332 0.668 0.000
Pa3 0.500 0.500 0.500
Pa4 0.668 0.332 0.000
Pa5 0.836 0.164 0.500
Se1 0.085 0.421 0.253
Se2 0.255 0.255 0.752
Se3 0.421 0.085 0.253
Se4 0.579 0.915 0.747
Se5 0.745 0.745 0.248
Se6 0.915 0.579 0.747
# SG: C2/m, No. 12
# Uncorrected formation energy: -1.297 eV per atom

---

# PBE-GGA Nd2TiO5, relaxed
data_Nd2TiO5
_chemical_formula_sum 'Nd8 Ti4 O20'
_cell_length_a 10.831
_cell_length_b 3.856
_cell_length_c 11.551
_cell_angle_alpha 90.00
_cell_angle_beta 90.00
_cell_angle_gamma 90.00
_symmetry_space_group_name_H-M 'P 1'
_symmetry_Int_Tables_number 1
loop_
_symmetry_equiv_pos_as_xyz
'x,y,z'
loop_
_atom_site_label
_atom_site_fract_x
_atom_site_fract_y
_atom_site_fract_z
Nd1 0.106 0.250 0.220
Nd2 0.137 0.250 0.556
Nd3 0.363 0.750 0.056
Nd4 0.394 0.750 0.720
Nd5 0.606 0.250 0.280
Nd6 0.637 0.250 0.944
Nd7 0.863 0.750 0.444
Nd8 0.894 0.750 0.780
Ti1 0.183 0.250 0.876
Ti2 0.317 0.750 0.376
Ti3 0.683 0.250 0.624
Ti4 0.817 0.750 0.124
O1 0.009 0.750 0.604
O2 0.022 0.250 0.841
O3 0.223 0.250 0.036
O4 0.233 0.750 0.229
O5 0.237 0.750 0.878
O6 0.263 0.250 0.378
O7 0.267 0.250 0.729
O8 0.277 0.750 0.536
O9 0.478 0.750 0.341
O10 0.491 0.250 0.104
O11 0.509 0.750 0.896
O12 0.522 0.250 0.659
O13 0.723 0.250 0.464
O14 0.733 0.750 0.271
O15 0.737 0.750 0.622
O16 0.763 0.250 0.122
O17 0.767 0.250 0.771
O18 0.777 0.750 0.964
O19 0.978 0.750 0.159
O20 0.991 0.250 0.396
# SG: Pnma, No. 62
# Uncorrected formation energy: -3.348 eV per atom

---

# PBE-GGA CdTcSb, relaxed
data_CdTcSb
_chemical_formula_sum 'Cd2 Tc2 Sb2'
_cell_length_a 3.639
_cell_length_b 3.639
_cell_length_c 10.706
_cell_angle_alpha 90.00
_cell_angle_beta 90.00
_cell_angle_gamma 90.00
_symmetry_space_group_name_H-M 'P 1'
_symmetry_Int_Tables_number 1
loop_
_symmetry_equiv_pos_as_xyz
'x,y,z'
loop_
_atom_site_label
_atom_site_fract_x
_atom_site_fract_y
_atom_site_fract_z
Cd1 0.250 0.750 0.000
Cd2 0.750 0.250 0.000
Tc1 0.250 0.250 0.446
Tc2 0.750 0.750 0.554
Sb1 0.250 0.250 0.695
Sb2 0.750 0.750 0.305
# SG: P4/nmm, No. 129
# E above lowest polymorph: 324.4 meV/atom
# Uncorrected formation energy: 0.510 eV per atom

---

# PBE-GGA DyEr5TmTh2, relaxed
data_DyEr5TmTh2
_chemical_formula_sum 'Dy2 Er10 Tm2 Th4'
_cell_length_a 9.844
_cell_length_b 9.844
_cell_length_c 9.844
_cell_angle_alpha 127.58
_cell_angle_beta 127.58
_cell_angle_gamma 77.30
_symmetry_space_group_name_H-M 'P 1'
_symmetry_Int_Tables_number 1
loop_
_symmetry_equiv_pos_as_xyz
'x,y,z'
loop_
_atom_site_label
_atom_site_fract_x
_atom_site_fract_y
_atom_site_fract_z
Dy1 0.250 0.250 0.000
Dy2 0.750 0.750 0.000
Er1 0.000 0.000 0.000
Er2 0.070 0.570 0.922
Er3 0.149 0.070 0.500
Er4 0.351 0.851 0.922
Er5 0.430 0.351 0.500
Er6 0.500 0.500 0.000
Er7 0.570 0.649 0.500
Er8 0.649 0.149 0.078
Er9 0.851 0.930 0.500
Er10 0.930 0.430 0.078
Tm1 0.250 0.750 0.500
Tm2 0.750 0.250 0.500
Th1 0.120 0.380 0.500
Th2 0.380 0.880 0.261
Th3 0.620 0.120 0.739
Th4 0.880 0.620 0.500
# SG: I4/mcm, No. 140
# Energy of formation from the pure elements: 0.3533 eV/atom

---

# PBE-GGA Tb2Pr4Tm2Sc, relaxed
data_Tb2Pr4Tm2Sc
_chemical_formula_sum 'Tb2 Pr4 Tm2 Sc1'
_cell_length_a 8.033
_cell_length_b 8.033
_cell_length_c 7.985
_cell_angle_alpha 107.67
_cell_angle_beta 107.67
_cell_angle_gamma 36.87
_symmetry_space_group_name_H-M 'P 1'
_symmetry_Int_Tables_number 1
loop_
_symmetry_equiv_pos_as_xyz
'x,y,z'
loop_
_atom_site_label
_atom_site_fract_x
_atom_site_fract_y
_atom_site_fract_z
Tb1 0.111 0.111 0.174
Tb2 0.889 0.889 0.826
Pr1 0.221 0.221 0.828
Pr2 0.447 0.447 0.173
Pr3 0.553 0.553 0.827
Pr4 0.779 0.779 0.172
Tm1 0.334 0.334 0.500
Tm2 0.666 0.666 0.500
Sc1 0.000 0.000 0.500
# SG: C2/m, No. 12
# Energy of formation from the pure elements: 0.0404 eV/atom

---

# PBE-GGA AgHgSe2, relaxed
data_AgHgSe2
_chemical_formula_sum 'Ag1 Hg1 Se2'
_cell_length_a 8.177
_cell_length_b 8.177
_cell_length_c 8.177
_cell_angle_alpha 153.14
_cell_angle_beta 153.14
_cell_angle_gamma 38.34
_symmetry_space_group_name_H-M 'P 1'
_symmetry_Int_Tables_number 1
loop_
_symmetry_equiv_pos_as_xyz
'x,y,z'
loop_
_atom_site_label
_atom_site_fract_x
_atom_site_fract_y
_atom_site_fract_z
Ag1 0.000 0.000 0.000
Hg1 0.250 0.750 0.500
Se1 0.500 0.500 0.000
Se2 0.750 0.250 0.500
# SG: I-4m2, No. 119
# Uncorrected formation energy: 0.155 eV per atom

---

# PBE-GGA HoMg4Ga2, relaxed
data_HoMg4Ga2
_chemical_formula_sum 'Ho2 Mg8 Ga4'
_cell_length_a 8.446
_cell_length_b 8.446
_cell_length_c 4.273
_cell_angle_alpha 90.00
_cell_angle_beta 90.00
_cell_angle_gamma 90.00
_symmetry_space_group_name_H-M 'P 1'
_symmetry_Int_Tables_number 1
loop_
_symmetry_equiv_pos_as_xyz
'x,y,z'
loop_
_atom_site_label
_atom_site_fract_x
_atom_site_fract_y
_atom_site_fract_z
Ho1 0.000 0.000 0.000
Ho2 0.500 0.500 0.500
Mg1 0.099 0.338 0.500
Mg2 0.162 0.599 0.000
Mg3 0.338 0.099 0.500
Mg4 0.401 0.838 0.000
Mg5 0.599 0.162 0.000
Mg6 0.662 0.901 0.500
Mg7 0.838 0.401 0.000
Mg8 0.901 0.662 0.500
Ga1 0.190 0.810 0.500
Ga2 0.310 0.310 0.000
Ga3 0.690 0.690 0.000
Ga4 0.810 0.190 0.500
# SG: P4_2/mnm, No. 136
# Energy of formation from the pure elements: -0.2315 eV/atom
# E above lowest polymorph: 4.4 meV/atom

---

# PBE-GGA LaOsW2, relaxed
data_LaOsW2
_chemical_formula_sum 'La1 Os1 W2'
_cell_length_a 5.081
_cell_length_b 5.081
_cell_length_c 5.810
_cell_angle_alpha 106.15
_cell_angle_beta 106.15
_cell_angle_gamma 35.50
_symmetry_space_group_name_H-M 'P 1'
_symmetry_Int_Tables_number 1
loop_
_symmetry_equiv_pos_as_xyz
'x,y,z'
loop_
_atom_site_label
_atom_site_fract_x
_atom_site_fract_y
_atom_site_fract_z
La1 0.000 0.000 0.000
Os1 0.237 0.237 0.672
W1 0.514 0.514 0.516
W2 0.791 0.791 0.346
# SG: Cm, No. 8
# Energy of formation from the pure elements: 0.5788 eV/atom
# E above lowest polymorph: 185.6 meV/atom

---

# PBE-GGA PaInCoRu, relaxed
data_PaInCoRu
_chemical_formula_sum 'Pa1 In1 Co1 Ru1'
_cell_length_a 4.675
_cell_length_b 4.675
_cell_length_c 4.675
_cell_angle_alpha 60.00
_cell_angle_beta 60.00
_cell_angle_gamma 60.00
_symmetry_space_group_name_H-M 'P 1'
_symmetry_Int_Tables_number 1
loop_
_symmetry_equiv_pos_as_xyz
'x,y,z'
loop_
_atom_site_label
_atom_site_fract_x
_atom_site_fract_y
_atom_site_fract_z
Pa1 0.000 0.000 0.000
In1 0.500 0.500 0.500
Co1 0.250 0.250 0.250
Ru1 0.750 0.750 0.750
# SG: F-43m, No. 216
# Energy of formation from the pure elements: -0.2104 eV/atom

---

# PBE-GGA CdSiP2, relaxed
data_CdSiP2
_chemical_formula_sum 'Cd1 Si1 P2'
_cell_length_a 3.546
_cell_length_b 3.705
_cell_length_c 5.649
_cell_angle_alpha 90.00
_cell_angle_beta 90.00
_cell_angle_gamma 90.00
_symmetry_space_group_name_H-M 'P 1'
_symmetry_Int_Tables_number 1
loop_
_symmetry_equiv_pos_as_xyz
'x,y,z'
loop_
_atom_site_label
_atom_site_fract_x
_atom_site_fract_y
_atom_site_fract_z
Cd1 0.000 0.000 0.000
Si1 0.000 0.500 0.500
P1 0.500 0.000 0.500
P2 0.500 0.500 0.000
# SG: Pmmm, No. 47
# E above lowest polymorph: 795.4 meV/atom
# Uncorrected formation energy: 0.595 eV per atom

---

# PBE-GGA Pr4Cd5Pt2, relaxed
data_Pr4Cd5Pt2
_chemical_formula_sum 'Pr4 Cd5 Pt2'
_cell_length_a 7.817
_cell_length_b 3.831
_cell_length_c 9.874
_cell_angle_alpha 90.00
_cell_angle_beta 94.06
_cell_angle_gamma 90.00
_symmetry_space_group_name_H-M 'P 1'
_symmetry_Int_Tables_number 1
loop_
_symmetry_equiv_pos_as_xyz
'x,y,z'
loop_
_atom_site_label
_atom_site_fract_x
_atom_site_fract_y
_atom_site_fract_z
Pr1 0.169 0.000 0.357
Pr2 0.232 0.000 0.947
Pr3 0.768 0.000 0.053
Pr4 0.831 0.000 0.643
Cd1 0.189 0.500 0.653
Cd2 0.451 0.500 0.188
Cd3 0.500 0.500 0.500
Cd4 0.549 0.500 0.812
Cd5 0.811 0.500 0.347
Pt1 0.069 0.500 0.140
Pt2 0.931 0.500 0.860
# SG: P2/m, No. 10
# Energy of formation from the pure elements: -0.5775 eV/atom

---

Number 1: size of the total moment 0.000 μB/f.u.. Number 2: size of the total moment 3.577 μB/f.u.. Number 3: size of the total moment 0.000 μB/f.u.. Number 4: size of the total moment 0.529 μB/f.u.. Number 5: size of the total moment 0.000 μB/f.u.. Number 6: size of the total moment 0.000 μB/f.u.. Number 7: size of the total moment 0.119 μB/f.u.. Number 8: size of the total moment 0.000 μB/f.u.. Number 9: size of the total moment 0.000 μB/f.u.. Number 10: size of the total moment 0.803 μB/f.u.. Number 11: size of the total moment 0.000 μB/f.u.. Number 12: size of the total moment 0.000 μB/f.u..